Below is a PBEsol-optimized structure of CdSiTeN2, with properties calculated at the SCAN level.

Results
As for the raw formation energy: 0.718 eV per atom. Its symmetry is P4/mmm.

Cell: 3.724 3.724 5.717 Å, 90.00 90.00 90.00°
Element x y z (fractional)
Cd  0.000  0.000  0.000
Si  0.500  0.500  0.500
Te  0.500  0.500  0.000
N  0.000  0.500  0.500
N  0.500  0.000  0.500

---

Below is a PBEsol-optimized structure of CdSnN2, with properties calculated at the SCAN level.

Results
As for the raw formation energy: 0.142 eV per atom. Its symmetry is Pna2_1.

Cell: 6.058 7.145 5.733 Å, 90.00 90.00 90.00°
Element x y z (fractional)
Cd  0.083  0.124  0.000
Cd  0.417  0.624  0.500
Cd  0.583  0.376  0.000
Cd  0.917  0.876  0.500
Sn  0.077  0.626  0.002
Sn  0.423  0.126  0.502
Sn  0.577  0.874  0.002
Sn  0.923  0.374  0.502
N  0.066  0.610  0.362
N  0.097  0.140  0.395
N  0.403  0.640  0.895
N  0.434  0.110  0.862
N  0.566  0.890  0.362
N  0.597  0.360  0.395
N  0.903  0.860  0.895
N  0.934  0.390  0.862

---

Below is a PBEsol-optimized structure of CdSnN2, with properties calculated at the SCAN level.

Results
As for the raw formation energy: 0.152 eV per atom. Its symmetry is I-42d.

Cell: 6.025 6.025 6.025 Å, 130.37 130.37 72.81°
Element x y z (fractional)
Cd  0.000  0.000  0.000
Cd  0.750  0.250  0.500
Sn  0.250  0.750  0.500
Sn  0.500  0.500  0.000
N  0.157  0.625  0.032
N  0.375  0.407  0.532
N  0.593  0.125  0.968
N  0.875  0.843  0.468